# 1
## ZrIrPtSe2 (PBEsol)

Data for an optimized crystal structure of ZrIrPtSe2.

abc: 4.6790 4.6790 5.0628
angles: 90.00 90.00 90.00
Last column: nearest neighbours and their distance in Å.
Fractional positions:
Zr (0.0000, 0.0000, 0.0000)  2 Ir 2.53
Ir (0.0000, 0.0000, 0.5000)  4 Se 2.34, 2 Zr 2.53
Pt (0.5000, 0.5000, 0.0000)  4 Zr 3.31, 8 Se 3.45
Se (0.0000, 0.5000, 0.5000)  2 Ir 2.34
Se (0.5000, 0.0000, 0.5000)  2 Ir 2.34

- Formation energy without anion corrections: 0.66 eV/atom
- Magnetization: 0.00 μB per cell


# 2
## BeReHg (PBEsol)

Data for an optimized crystal structure of BeReHg.

abc: 4.2850 4.2850 2.7359
angles: 90.00 90.00 120.00
Last column: nearest neighbours and their distance in Å.
Fractional positions:
Be (0.0000, 0.0000, 0.0000)  3 Hg 2.47, 2 Be 2.74
Re (0.3333, 0.6667, 0.5000)  2 Re 2.74, 6 Be 2.83, 6 Hg 2.83
Hg (0.6667, 0.3333, 0.0000)  3 Be 2.47, 2 Hg 2.74

- E above lowest polymorph: 196 meV per atom
- Energy of formation from the pure elements: 2.18 eV/f.u.
- Magnetization: 0.00 μB per cell